(1)
Entry from the Alexandria database: a relaxed NdGa3Pd crystal (PBE-GGA).

Calculated values
The calculation puts the total magnetization at 0.00 μB per cell. The calculation puts the energy relative to the elements at -15.87 kcal/mol of atoms. The electronic total energy comes out at -4.50 eV per atom. The calculated density is 7878 kg/m³.

Cell: 4.226 4.226 10.853 Å, 90.00 90.00 90.00°
Space group I-4m2 (No. 119)
Inequivalent atoms, fractional coordinates:
Nd  0.000  0.000  0.000 x2
Ga  0.000  0.000  0.385 x4
Ga  0.000  0.500  0.250 x2
Pd  0.000  0.500  0.750 x2

(2)
Entry from the Alexandria database: a relaxed W3Cl crystal (PBE-GGA).

Calculated values
The calculation puts the total magnetization at 0.00 μB per cell. The electronic total energy comes out at -9.22 eV per atom. The calculation puts the raw formation energy at 3.82 eV/f.u. The calculated density is 14665 kg/m³.

Cell: 2.974 4.738 4.717 Å, 90.00 90.00 90.00°
Space group Pmm2 (No. 25)
Inequivalent atoms, fractional coordinates:
W  0.000  0.000  0.000 x1
W  0.000  0.500  0.309 x1
W  0.500  0.500  0.831 x1
Cl  0.500  0.000  0.408 x1

(3)
Entry from the Alexandria database: a relaxed Sr2In3BiAu4 crystal (PBE-GGA).

Calculated values
The calculation puts the total magnetization at 0.00 μB per cell. The calculation puts the energy relative to the elements at -11.48 kcal/mol of atoms. The electronic total energy comes out at -3.35 eV per atom. The calculated density is 9389 kg/m³.

Cell: 4.861 4.861 11.349 Å, 90.00 90.00 90.00°
Space group P-4m2 (No. 115)
Inequivalent atoms, fractional coordinates:
Sr  0.000  0.500  0.234 x2
In  0.000  0.500  0.882 x2
In  0.500  0.500  0.500 x1
Bi  0.000  0.000  0.500 x1
Au  0.000  0.000  0.000 x1
Au  0.000  0.500  0.644 x2
Au  0.500  0.500  0.000 x1

(4)
Entry from the Alexandria database: a relaxed Pm3Dy7Ho2 crystal (PBE-GGA).

Calculated values
The calculation puts the total magnetization at 0.00 μB per cell. The calculation puts the energy relative to the elements at 2.00 kcal/mol of atoms. The electronic total energy comes out at -4.55 eV per atom. The calculated density is 8121 kg/m³.

Cell: 5.826 3.563 18.768 Å, 90.00 93.08 90.00°
Space group P2/m (No. 10)
Inequivalent atoms, fractional coordinates:
Pm  0.000  0.000  0.000 x1
Pm  0.279  0.500  0.633 x2
Dy  0.189  0.500  0.144 x2
Dy  0.243  0.000  0.463 x2
Dy  0.309  0.000  0.823 x2
Dy  0.500  0.500  0.000 x1
Ho  0.210  0.000  0.293 x2

(5)
Entry from the Alexandria database: a relaxed Li2CuW crystal (PBE-GGA).

Calculated values
The calculation puts the total magnetization at 0.00 μB per cell. The calculation puts the energy relative to the elements at 9.12 kcal/mol of atoms. The electronic total energy comes out at -4.82 eV per atom. The calculated density is 7516 kg/m³.

Cell: 2.540 4.706 4.830 Å, 90.00 90.00 90.00°
Space group Pmmm (No. 47)
Inequivalent atoms, fractional coordinates:
Li  0.000  0.000  0.000 x1
Li  0.500  0.500  0.000 x1
Cu  0.000  0.500  0.500 x1
W  0.500  0.000  0.500 x1

(6)
Entry from the Alexandria database: a relaxed Tl4Hg2Se5 crystal (PBE-GGA).

Calculated values
The calculation puts the total magnetization at 0.00 μB per cell. The electronic total energy comes out at -2.67 eV per atom. The calculation puts the raw formation energy at -1.84 eV/f.u. The calculated density is 6129 kg/m³.

Cell: 10.136 8.145 10.853 Å, 90.00 102.64 90.00°
Space group Cm (No. 8)
Inequivalent atoms, fractional coordinates:
Tl  0.000  0.000  0.000 x2
Tl  0.004  0.000  0.494 x2
Tl  0.196  0.500  0.147 x2
Tl  0.241  0.000  0.754 x2
Hg  0.094  0.500  0.754 x2
Hg  0.429  0.000  0.294 x2
Se  0.218  0.259  0.898 x4
Se  0.381  0.000  0.573 x2
Se  0.455  0.301  0.267 x4